Entry 1:
Entry from OQMD via LeMat-Bulk: a relaxed structure of HoBiPd (PBE). Values from VASP.

Quantum ESPRESSO input file:
```
&SYSTEM
  ibrav = 0, nat = 3, ntyp = 3
/
ATOMIC_SPECIES
Ho 164.93 Ho.upf
Bi 208.98 Bi.upf
Pd 106.42 Pd.upf
ATOMIC_POSITIONS angstrom
Ho 0.0000 0.0000 0.0000
Bi 3.3471 3.3471 3.3471
Pd 5.0206 5.0206 5.0206
CELL_PARAMETERS angstrom
0.0000 3.3471 3.3471
3.3471 0.0000 3.3471
3.3471 3.3471 0.0000
```

Values from the calculation:
**Raw total energy**: -5.544 eV per atom

Entry 2:
Entry from OQMD via LeMat-Bulk: a relaxed structure of SmSc (PBE). Values from VASP.

Quantum ESPRESSO input file:
```
&SYSTEM
  ibrav = 0, nat = 2, ntyp = 2
/
ATOMIC_SPECIES
Sm 150.36 Sm.upf
Sc 44.96 Sc.upf
ATOMIC_POSITIONS angstrom
Sm 0.0000 0.0000 0.0000
Sc 0.0000 2.0106 2.7335
CELL_PARAMETERS angstrom
3.4824 0.0000 0.0000
-1.7412 3.0159 0.0000
0.0000 0.0000 5.4671
```

Values from the calculation:
**Raw total energy**: -5.442 eV per atom
**Polymorph energy (0 for the lowest one)**: 0 meV/atom
**Energy of formation from the pure elements**: 0.0772 eV/atom

Entry 3:
Entry from OQMD via LeMat-Bulk: a relaxed structure of TmTlIn (PBE). Values from VASP.

Quantum ESPRESSO input file:
```
&SYSTEM
  ibrav = 0, nat = 3, ntyp = 3
/
ATOMIC_SPECIES
Tm 168.93 Tm.upf
Tl 204.38 Tl.upf
In 114.82 In.upf
ATOMIC_POSITIONS angstrom
Tm 0.0000 0.0000 0.0000
Tl 1.7818 1.7818 1.7818
In 5.3453 5.3453 5.3453
CELL_PARAMETERS angstrom
0.0000 3.5636 3.5636
3.5636 0.0000 3.5636
3.5636 3.5636 0.0000
```

Values from the calculation:
**Raw total energy**: -3.186 eV per atom
**Polymorph energy (0 for the lowest one)**: 318 meV/atom

Entry 4:
Entry from OQMD via LeMat-Bulk: a relaxed structure of PrTaAsO (PBE). Values from VASP.

Quantum ESPRESSO input file:
```
&SYSTEM
  ibrav = 0, nat = 8, ntyp = 4
/
ATOMIC_SPECIES
Pr 140.91 Pr.upf
Ta 180.95 Ta.upf
As 74.92 As.upf
O 16.00 O.upf
ATOMIC_POSITIONS angstrom
Pr 1.0479 3.1436 0.0000
Pr 3.1436 1.0479 0.0000
Ta 1.0479 1.0479 3.3398
Ta 3.1436 3.1436 4.8395
As 1.0479 1.0479 6.0276
As 3.1436 3.1436 2.1518
O 1.0479 3.1436 4.0897
O 3.1436 1.0479 4.0897
CELL_PARAMETERS angstrom
4.1915 0.0000 0.0000
0.0000 4.1915 0.0000
0.0000 0.0000 8.1793
```

Values from the calculation:
**Raw total energy**: -7.224 eV per atom
**Polymorph energy (0 for the lowest one)**: 1109 meV/atom

Entry 5:
Entry from OQMD via LeMat-Bulk: a relaxed structure of TmSiH2O4 (PBE). Values from VASP.

Quantum ESPRESSO input file:
```
&SYSTEM
  ibrav = 0, nat = 16, ntyp = 4
/
ATOMIC_SPECIES
Tm 168.93 Tm.upf
Si 28.09 Si.upf
H 1.01 H.upf
O 16.00 O.upf
ATOMIC_POSITIONS angstrom
Tm 4.5119 1.6364 0.7887
Tm -1.3844 4.9091 4.5499
Si 0.1627 1.6364 3.7917
Si 2.9647 4.9091 1.5469
H 0.8427 4.9091 2.6761
H 2.3762 0.0000 0.0000
H 2.3762 3.2727 0.0000
H 2.2847 1.6364 2.6625
O -0.4878 4.9091 2.5856
O -0.3139 0.3286 4.8478
O -0.3139 2.9441 4.8478
O 1.2231 1.6364 2.4489
O 1.9043 4.9091 2.8896
O 3.4414 3.6013 0.4908
O 3.4414 6.2168 0.4908
O 3.6153 1.6364 2.7530
CELL_PARAMETERS angstrom
4.7523 0.0000 0.0000
0.0000 6.5454 0.0000
-1.6248 0.0000 5.3386
```

Values from the calculation:
**Raw total energy**: -6.567 eV per atom
**Polymorph energy (0 for the lowest one)**: 10 meV/atom

Entry 6:
Entry from OQMD via LeMat-Bulk: a relaxed structure of K2GaAgF6 (PBE). Values from VASP.

Quantum ESPRESSO input file:
```
&SYSTEM
  ibrav = 0, nat = 10, ntyp = 4
/
ATOMIC_SPECIES
K 39.10 K.upf
Ga 69.72 Ga.upf
Ag 107.87 Ag.upf
F 19.00 F.upf
ATOMIC_POSITIONS angstrom
K 2.0777 2.0777 2.0777
K 6.2330 6.2330 6.2330
Ga 0.0000 0.0000 0.0000
Ag 4.1553 4.1553 4.1553
F 4.1553 4.1553 1.8797
F 4.1553 1.8797 4.1553
F 6.4310 4.1553 4.1553
F 1.8797 4.1553 4.1553
F 4.1553 6.4310 4.1553
F 4.1553 4.1553 6.4310
CELL_PARAMETERS angstrom
0.0000 4.1553 4.1553
4.1553 0.0000 4.1553
4.1553 4.1553 0.0000
```

Values from the calculation:
**Raw total energy**: -4.316 eV per atom

Which of these has the highest raw total energy?
TmTlIn

What is the formula in the sixth record?
K2GaAgF6